No. 1
16
Lattice="4.2637 2.4616 6.9698 -4.2637 2.4616 6.9698 0.0000 -4.9233 6.9698" Properties=species:S:1:pos:R:3 comment="GGA-PBE Th8TeAs4Se3, relaxed" dos_at_fermi_per_ev_cell=6.75 e_form_raw_ev_per_atom=-1.42 space_group="R-3m, No. 166" e_tot_ev_per_cell=-114.3 pbc="T T T"
Th 0.0000 0.0000 5.1832
Th -2.0744 -1.1977 12.1073
Th 0.0000 -2.3953 8.8020
Th -2.0744 1.1977 8.8020
Th 2.0744 -1.1977 12.1073
Th 0.0000 2.3953 12.1073
Th 2.0744 1.1977 8.8020
Th 0.0000 0.0000 15.7261
Te 0.0000 0.0000 0.0000
As -4.2637 0.0000 10.4546
As -2.1318 1.2308 3.4849
As 2.1318 1.2308 3.4849
As 0.0000 0.0000 10.4546
Se -2.1318 -1.2308 6.9698
Se -2.1318 1.2308 13.9395
Se 0.0000 2.4616 6.9697



No. 2
12
Lattice="9.2522 -2.1439 0.0000 9.2522 2.1439 0.0000 -1.7536 0.0000 8.3106" Properties=species:S:1:pos:R:3 comment="GGA-PBE Th6TeAs2Se3, relaxed" dos_at_fermi_per_ev_cell=9.06 e_form_raw_ev_per_atom=-1.41 space_group="C2/m, No. 12" e_tot_ev_per_cell=-84.4 pbc="T T T"
Th -0.3997 0.0000 2.2395
Th 4.4267 0.0000 7.5552
Th 5.4203 0.0000 3.4922
Th 11.3304 0.0000 4.8184
Th 12.3240 0.0000 0.7554
Th 17.1504 0.0000 6.0711
Te 9.2522 0.0000 0.0000
As 2.5342 0.0000 2.7723
As 14.2165 0.0000 5.5384
Se 1.5348 0.0000 6.9123
Se 8.3754 0.0000 4.1553
Se 15.2159 0.0000 1.3983



No. 3
8
Lattice="7.4135 0.0000 0.0000 0.0000 4.3093 0.0000 -2.4992 0.0000 7.0427" Properties=species:S:1:pos:R:3 comment="GGA-PBE Th4TeAs2Se, relaxed" dos_at_fermi_per_ev_cell=5.72 e_form_raw_ev_per_atom=-1.35 space_group="P2/m, No. 10" e_tot_ev_per_cell=-56.4 pbc="T T T"
Th 1.1619 0.0000 1.6108
Th -0.0890 2.1546 5.3861
Th 5.0033 2.1546 1.6567
Th 3.7524 0.0000 5.4319
Te 2.4571 2.1546 3.5214
As 0.0000 2.1546 0.0000
As 3.7068 0.0000 0.0000
Se -1.2496 0.0000 3.5214



No. 4
12
Lattice="9.6252 -2.1529 0.0000 9.6252 2.1529 0.0000 -2.4804 0.0000 8.4648" Properties=species:S:1:pos:R:3 comment="GGA-PBE Th6Te3As2Se, relaxed" dos_at_fermi_per_ev_cell=10.79 e_form_raw_ev_per_atom=-1.26 space_group="C2/m, No. 12" e_tot_ev_per_cell=-81.8 pbc="T T T"
Th -0.4577 0.0000 1.9771
Th 5.2004 0.0000 3.6726
Th 4.3111 0.0000 7.6199
Th 12.4590 0.0000 0.8449
Th 11.5697 0.0000 4.7921
Th 17.2278 0.0000 6.4876
Te 1.1520 0.0000 7.0505
Te 8.3850 0.0000 4.2324
Te 15.6181 0.0000 1.4143
As 2.3723 0.0000 2.8154
As 14.3978 0.0000 5.6494
Se 9.6252 0.0000 0.0000



No. 5
16
Lattice="4.2006 2.4252 7.5767 -4.2006 2.4252 7.5767 0.0000 -4.8504 7.5767" Properties=species:S:1:pos:R:3 comment="GGA-PBE Th8Te4AsSe3, relaxed" dos_at_fermi_per_ev_cell=14.38 e_form_raw_ev_per_atom=-1.27 space_group="R-3m, No. 166" e_tot_ev_per_cell=-107.4 pbc="T T T"
Th 0.0000 0.0000 5.4891
Th -2.0931 -1.2085 13.0589
Th 0.0000 -2.4169 9.6713
Th -2.0931 1.2085 9.6713
Th 2.0931 -1.2085 13.0588
Th 0.0000 2.4170 13.0588
Th 2.0931 1.2085 9.6713
Th 0.0000 0.0000 17.2410
Te 0.0000 0.0000 0.0000
Te -2.1003 -1.2126 7.5767
Te -2.1003 1.2126 15.1534
Te 0.0000 2.4252 7.5767
As 0.0000 0.0000 11.3651
Se -4.2006 0.0000 11.3651
Se -2.1003 1.2126 3.7883
Se 2.1003 1.2126 3.7884



No. 6
16
Lattice="4.2793 2.4707 7.3809 -4.2793 2.4707 7.3809 0.0000 -4.9413 7.3809" Properties=species:S:1:pos:R:3 comment="GGA-PBE Th8Te4As3Se, relaxed" dos_at_fermi_per_ev_cell=9.90 e_form_raw_ev_per_atom=-1.26 space_group="R-3m, No. 166" e_tot_ev_per_cell=-109.5 pbc="T T T"
Th -2.1450 -1.2384 12.6969
Th 0.0000 0.0000 5.3121
Th 0.0000 -2.4768 9.4458
Th -2.1450 1.2384 9.4458
Th 2.1450 -1.2384 12.6969
Th 0.0000 2.4768 12.6969
Th 0.0000 0.0000 16.8305
Th 2.1450 1.2384 9.4458
Te 0.0000 0.0000 0.0000
Te -2.1397 -1.2353 7.3809
Te -2.1397 1.2353 14.7618
Te 0.0000 2.4707 7.3809
As -4.2793 0.0000 11.0713
As -2.1397 1.2353 3.6904
As 2.1397 1.2353 3.6904
Se 0.0000 0.0000 11.0713